1.
Computed, not measured: a relaxed structure of Al2CdAg5 at the PBE-GGA level of DFT.

Summary:
excess energy over the best structure of this formula in the dataset: 0.000 eV/atom
E_form: -0.34 eV per formula unit
M_tot: 0.000 μB/cell

Cell lengths 5.7517, 5.7517, 8.5352 Å; angles 90.00, 90.00, 94.71 degrees
Atoms (fractional coordinates):
Al 0.0000 0.0000 0.2427
Al 0.0000 0.0000 0.7573
Al 0.2630 0.7370 0.0000
Al 0.7370 0.2630 0.0000
Cd 0.2772 0.7228 0.5000
Cd 0.7228 0.2772 0.5000
Ag 0.0000 0.5000 0.2391
Ag 0.0000 0.5000 0.7609
Ag 0.2175 0.2175 0.5000
Ag 0.2281 0.2281 0.0000
Ag 0.5000 0.0000 0.2391
Ag 0.5000 0.0000 0.7609
Ag 0.5000 0.5000 0.2352
Ag 0.5000 0.5000 0.7648
Ag 0.7719 0.7719 0.0000
Ag 0.7825 0.7825 0.5000

***

2.
Computed, not measured: a relaxed structure of Ac2GePd6 at the PBE-GGA level of DFT.

Summary:
excess energy over the best structure of this formula in the dataset: 0.039 eV/atom
E_form: -6.83 eV per formula unit
M_tot: 0.000 μB/cell

Cell lengths 5.9267, 5.9267, 6.0229 Å; angles 90.00, 90.00, 120.00 degrees
Atoms (fractional coordinates):
Ac 0.3333 0.6667 0.3077
Ac 0.6667 0.3333 0.6923
Ge 0.0000 0.0000 0.5000
Pd 0.1706 0.3413 0.8090
Pd 0.1706 0.8294 0.8090
Pd 0.3413 0.1706 0.1910
Pd 0.6587 0.8294 0.8090
Pd 0.8294 0.1706 0.1910
Pd 0.8294 0.6587 0.1910

***

3.
Computed, not measured: a relaxed structure of ScMn2PdC at the PBE-GGA level of DFT.

Summary:
E_form: -0.84 eV per formula unit
M_tot: 0.001 μB/cell

Cell lengths 3.7980, 3.7980, 4.4468 Å; angles 90.00, 90.00, 90.00 degrees
Atoms (fractional coordinates):
Sc 0.0000 0.0000 0.0000
Mn 0.0000 0.5000 0.5000
Mn 0.5000 0.0000 0.5000
Pd 0.5000 0.5000 0.0000
C 0.0000 0.0000 0.5000

***

4.
Computed, not measured: a relaxed structure of Tb2AgTe6Pb3 at the PBE-GGA level of DFT.

Summary:
formation energy (no corrections): -0.663 eV per atom
M_tot: 0.000 μB/cell

Cell lengths 10.1944, 10.1944, 9.1110 Å; angles 102.71, 102.71, 25.10 degrees
Atoms (fractional coordinates):
Tb 0.1670 0.1670 0.3431
Tb 0.8330 0.8330 0.6569
Ag 0.5000 0.5000 0.0000
Te 0.0098 0.0098 0.2310
Te 0.3239 0.3239 0.8926
Te 0.3301 0.3301 0.4163
Te 0.6699 0.6699 0.5837
Te 0.6761 0.6761 0.1074
Te 0.9902 0.9902 0.7690
Pb 0.1572 0.1572 0.8485
Pb 0.5000 0.5000 0.5000
Pb 0.8428 0.8428 0.1515

***

5.
Computed, not measured: a relaxed structure of Ba2AgSbH at the PBE-GGA level of DFT.

Summary:
calculated total energy: -17.0 eV/cell
M_tot: 0.000 μB/cell

Cell lengths 5.6556, 5.6556, 4.4982 Å; angles 90.00, 90.00, 90.00 degrees
Atoms (fractional coordinates):
Ba 0.0000 0.5000 0.0000
Ba 0.5000 0.0000 0.0000
Ag 0.0000 0.0000 0.5000
Sb 0.5000 0.5000 0.5000
H 0.0000 0.0000 0.0000

***

6.
Computed, not measured: a relaxed structure of GaFeAu2 at the PBE-GGA level of DFT.

Summary:
E_form: 0.22 eV per formula unit
M_tot: 3.073 μB/cell

Cell lengths 3.0388, 3.0388, 7.1035 Å; angles 90.00, 90.00, 90.00 degrees
Atoms (fractional coordinates):
Ga 0.0000 0.0000 0.0000
Fe 0.0000 0.0000 0.5000
Au 0.5000 0.5000 0.2588
Au 0.5000 0.5000 0.7412

***

7.
Computed, not measured: a relaxed structure of Ce3MnAl24Cu8 at the PBE-GGA level of DFT.

Summary:
E_form: -6.53 eV per formula unit
M_tot: 0.358 μB/cell

Cell lengths 8.4403, 8.4403, 8.4403 Å; angles 90.00, 90.00, 90.00 degrees
Atoms (fractional coordinates):
Ce 0.0000 0.0000 0.5000
Ce 0.0000 0.5000 0.0000
Ce 0.5000 0.0000 0.0000
Mn 0.5000 0.5000 0.5000
Al 0.0000 0.3360 0.3360
Al 0.0000 0.3360 0.6640
Al 0.0000 0.6640 0.3360
Al 0.0000 0.6640 0.6640
Al 0.2712 0.2712 0.5000
Al 0.2712 0.5000 0.2712
Al 0.2712 0.5000 0.7288
Al 0.2712 0.7288 0.5000
Al 0.3360 0.0000 0.3360
Al 0.3360 0.0000 0.6640
Al 0.3360 0.3360 0.0000
Al 0.3360 0.6640 0.0000
Al 0.5000 0.2712 0.2712
Al 0.5000 0.2712 0.7288
Al 0.5000 0.7288 0.2712
Al 0.5000 0.7288 0.7288
Al 0.6640 0.0000 0.3360
Al 0.6640 0.0000 0.6640
Al 0.6640 0.3360 0.0000
Al 0.6640 0.6640 0.0000
Al 0.7288 0.2712 0.5000
Al 0.7288 0.5000 0.2712
Al 0.7288 0.5000 0.7288
Al 0.7288 0.7288 0.5000
Cu 0.1542 0.1542 0.1542
Cu 0.1542 0.1542 0.8458
Cu 0.1542 0.8458 0.1542
Cu 0.1542 0.8458 0.8458
Cu 0.8458 0.1542 0.1542
Cu 0.8458 0.1542 0.8458
Cu 0.8458 0.8458 0.1542
Cu 0.8458 0.8458 0.8458

***

8.
Computed, not measured: a relaxed structure of ZnAg3N at the PBE-GGA level of DFT.

Summary:
formation energy (no corrections): 1.620 eV per atom
excess energy over the best structure of this formula in the dataset: 0.992 eV/atom
M_tot: 0.000 μB/cell

Cell lengths 4.7710, 4.7710, 4.7710 Å; angles 90.00, 90.00, 90.00 degrees
Atoms (fractional coordinates):
Zn 0.0000 0.0000 0.0000
Ag 0.0000 0.0000 0.5000
Ag 0.0000 0.5000 0.0000
Ag 0.5000 0.0000 0.0000
N 0.5000 0.5000 0.5000

***

9.
Computed, not measured: a relaxed structure of PmY2HoTl2 at the PBE-GGA level of DFT.

Summary:
E_form: -1.73 eV per formula unit
M_tot: 0.000 μB/cell

Cell lengths 5.1219, 10.0311, 6.8799 Å; angles 90.00, 90.00, 90.00 degrees
Atoms (fractional coordinates):
Pm 0.0000 0.0448 0.0000
Pm 0.0000 0.9552 0.5000
Y 0.0000 0.3159 0.3801
Y 0.0000 0.6841 0.8801
Y 0.5000 0.4540 0.0943
Y 0.5000 0.5460 0.5943
Ho 0.5000 0.1909 0.7194
Ho 0.5000 0.8091 0.2194
Tl 0.0000 0.3677 0.8382
Tl 0.0000 0.6323 0.3382
Tl 0.5000 0.1344 0.2623
Tl 0.5000 0.8656 0.7623

***

10.
Computed, not measured: a relaxed structure of VFe2Se3 at the PBE-GGA level of DFT.

Summary:
formation energy (no corrections): -0.456 eV per atom
M_tot: 9.000 μB/cell

Cell lengths 7.4942, 3.4081, 9.9683 Å; angles 90.00, 106.17, 90.00 degrees
Atoms (fractional coordinates):
V 0.2380 0.2500 0.2125
V 0.7620 0.7500 0.7875
Fe 0.0435 0.2500 0.9316
Fe 0.4039 0.7500 0.4156
Fe 0.5961 0.2500 0.5844
Fe 0.9565 0.7500 0.0684
Se 0.0734 0.7500 0.3209
Se 0.2824 0.7500 0.0269
Se 0.4252 0.7500 0.6682
Se 0.5748 0.2500 0.3318
Se 0.7176 0.2500 0.9731
Se 0.9266 0.2500 0.6791

***

11.
Computed, not measured: a relaxed structure of GaSn2Rh at the PBE-GGA level of DFT.

Summary:
E_form: 0.76 eV per formula unit
M_tot: 0.000 μB/cell

Cell lengths 7.6522, 7.6522, 7.6522 Å; angles 133.98, 133.98, 67.12 degrees
Atoms (fractional coordinates):
Ga 0.0000 0.0000 0.0000
Ga 0.7500 0.2500 0.5000
Sn 0.1511 0.6250 0.0261
Sn 0.3750 0.4011 0.5261
Sn 0.5989 0.1250 0.9739
Sn 0.8750 0.8489 0.4739
Rh 0.2500 0.7500 0.5000
Rh 0.5000 0.5000 0.0000

***

12.
Computed, not measured: a relaxed structure of PmNd2Th3Sb6 at the PBE-GGA level of DFT.

Summary:
formation energy (no corrections): -1.062 eV per atom
M_tot: 0.000 μB/cell

Cell lengths 10.0905, 10.0905, 9.0080 Å; angles 102.90, 102.90, 25.85 degrees
Atoms (fractional coordinates):
Pm 0.0000 0.0000 0.0000
Nd 0.3334 0.3334 0.6667
Nd 0.6666 0.6666 0.3333
Th 0.0000 0.0000 0.5000
Th 0.3331 0.3331 0.1666
Th 0.6669 0.6669 0.8334
Sb 0.1663 0.1663 0.0824
Sb 0.1664 0.1664 0.5840
Sb 0.4996 0.4996 0.2493
Sb 0.5004 0.5004 0.7507
Sb 0.8336 0.8336 0.4160
Sb 0.8337 0.8337 0.9176